{"formula": "LiNiSnO2", "functional": "PBE with a Hubbard U", "state": "optimized geometry", "lattice": [[-2.4229, 2.8950, 1.2995], [-2.4046, -2.7227, 1.5820], [2.0489, 0.1788, 3.4220]], "species": ["O", "Ni", "Sn", "O", "Li"], "fractional_positions": [[0.0000, 0.0000, 0.5000], [0.0000, 0.0000, 0.0000], [0.5000, 0.5000, 0.5000], [0.5000, 0.0000, 0.0000], [0.0000, 0.5000, 0.0000]], "dft_energy_ev_per_atom": -3.999, "volume_a3_per_cell": 63.2}